[1]
The following is a PBE-GGA calculation of a relaxed structure of Tb2Ho12Zr, from Alexandria via LeMat-Bulk.

Unit cell a=6.5567 b=6.5567 c=24.3845 alpha=83.36 beta=96.64 gamma=64.62
Fractional coordinates of all 30 atoms:
Tb: 0.4564 0.0436 0.2751
Tb: 0.9564 0.5436 0.2751
Tb: 0.0436 0.4564 0.7249
Tb: 0.5436 0.9564 0.7249
Ho: 0.6081 0.3920 0.8099
Ho: 0.1080 0.8919 0.8099
Ho: 0.6546 0.8454 0.8728
Ho: 0.4540 0.5460 0.9373
Ho: 0.9954 0.0046 0.3274
Ho: 0.0460 0.9540 0.0627
Ho: 0.6672 0.3328 0.5562
Ho: 0.4954 0.5046 0.3274
Ho: 0.1546 0.3454 0.8728
Ho: 0.8454 0.6546 0.1272
Ho: 0.1828 0.3172 0.5771
Ho: 0.8328 0.1672 0.4438
Ho: 0.0046 0.9954 0.6726
Ho: 0.3172 0.1828 0.4229
Ho: 0.3454 0.1546 0.1272
Ho: 0.8172 0.6828 0.4229
Ho: 0.6828 0.8172 0.5771
Ho: 0.8919 0.1080 0.1901
Ho: 0.1672 0.8328 0.5562
Ho: 0.5046 0.4954 0.6726
Ho: 0.9540 0.0460 0.9373
Ho: 0.3920 0.6081 0.1901
Ho: 0.3328 0.6672 0.4438
Ho: 0.5460 0.4540 0.0627
Zr: 0.5000 0.0000 0.0000
Zr: 0.0000 0.5000 0.0000

raw total energy: -141.38 eV per cell
space-group type: No. 10
volume: 924.7 Å³ per cell

[2]
The following is a PBE-GGA calculation of a relaxed structure of LuAlCoOs, from Alexandria via LeMat-Bulk.

Unit cell a=4.4342 b=4.4342 c=4.4342 alpha=60.00 beta=60.00 gamma=60.00
Fractional coordinates of all 4 atoms:
Co: 0.7500 0.7500 0.7500
Lu: 0.5000 0.5000 0.5000
Os: 0.2500 0.2500 0.2500
Al: 0.0000 0.0000 0.0000

raw total energy: -27.65 eV per cell
space-group type: No. 216
volume: 61.6 Å³ per cell

[3]
The following is a PBE-GGA calculation of a relaxed structure of La2TbHo5Er, from Alexandria via LeMat-Bulk.

Unit cell a=5.6388 b=10.2829 c=10.7210 alpha=90.00 beta=90.00 gamma=105.91
Fractional coordinates of all 18 atoms:
La: 0.8846 0.7692 0.8182
La: 0.1128 0.2256 0.7334
La: 0.1154 0.2308 0.3182
La: 0.8872 0.7744 0.2334
Tb: 0.5863 0.1726 0.9611
Tb: 0.4137 0.8274 0.4611
Ho: 0.3875 0.7749 0.0208
Ho: 0.7185 0.4369 0.8088
Ho: 0.4805 0.9609 0.7392
Ho: 0.2991 0.5981 0.7069
Ho: 0.9835 0.9671 0.5242
Ho: 0.6125 0.2251 0.5208
Ho: 0.2815 0.5631 0.3088
Ho: 0.5195 0.0391 0.2392
Ho: 0.7009 0.4019 0.2069
Ho: 0.0165 0.0329 0.0242
Er: 0.7992 0.5984 0.5114
Er: 0.2008 0.4016 0.0114

raw total energy: -81.36 eV per cell
space-group type: No. 36
volume: 597.8 Å³ per cell

[4]
The following is a PBE-GGA calculation of a relaxed structure of As2IrRh2, from Alexandria via LeMat-Bulk.

Unit cell a=6.9731 b=6.9731 c=3.1095 alpha=90.00 beta=90.00 gamma=90.00
Fractional coordinates of all 10 atoms:
As: 0.3432 0.8432 0.0000
As: 0.8432 0.6568 0.0000
As: 0.6568 0.1568 0.0000
As: 0.1568 0.3432 0.0000
Ir: 0.0000 0.0000 0.0000
Ir: 0.5000 0.5000 0.0000
Rh: 0.1414 0.6414 0.5000
Rh: 0.6414 0.8586 0.5000
Rh: 0.8586 0.3586 0.5000
Rh: 0.3586 0.1414 0.5000

raw total energy: -65.95 eV per cell
space-group type: No. 127
volume: 151.2 Å³ per cell

[5]
The following is a PBE-GGA calculation of a relaxed structure of PmNd3Y2, from Alexandria via LeMat-Bulk.

Unit cell a=7.2648 b=6.3084 c=13.0751 alpha=71.27 beta=46.29 gamma=73.26
Fractional coordinates of all 12 atoms:
Pm: 0.9999 0.2501 0.7500
Pm: 0.0001 0.7499 0.2500
Nd: 0.5001 0.7499 0.2500
Nd: 0.4999 0.2501 0.7500
Nd: 0.8334 0.2496 0.0830
Nd: 0.1659 0.2502 0.4172
Nd: 0.8341 0.7498 0.5828
Nd: 0.1666 0.7504 0.9170
Y: 0.3335 0.7503 0.5834
Y: 0.3330 0.2502 0.0834
Y: 0.6670 0.7498 0.9166
Y: 0.6665 0.2497 0.4166

raw total energy: -63.81 eV per cell
space-group type: No. 2
energy relative to the lowest polymorph listed for this composition: 0.000 eV/atom
volume: 408.3 Å³ per cell

[6]
The following is a PBE-GGA calculation of a relaxed structure of Ho2Be3InPt4, from Alexandria via LeMat-Bulk.

Unit cell a=4.0432 b=4.0432 c=10.3049 alpha=90.00 beta=90.00 gamma=90.00
Fractional coordinates of all 10 atoms:
Ho: 0.5000 0.0000 0.2318
Ho: 0.0000 0.5000 0.7682
Be: 0.0000 0.0000 0.5000
Be: 0.5000 0.0000 0.8872
Be: 0.0000 0.5000 0.1128
In: 0.5000 0.5000 0.5000
Pt: 0.5000 0.5000 0.0000
Pt: 0.0000 0.0000 0.0000
Pt: 0.5000 0.0000 0.6675
Pt: 0.0000 0.5000 0.3325

raw total energy: -55.65 eV per cell
space-group type: No. 115
volume: 168.5 Å³ per cell